A relaxed SrCu crystal. Source: the Open Quantum Materials Database, functional PBE.

The value obtained for the total DFT energy (no corrections) is -2.579 eV per atom.

It has space group R-3m (No. 166, hexagonal axes), with a = 4.2383 Å, b = 4.2383 Å, c = 11.5385 Å, α = 90.00°, β = 90.00° and γ = 120.00°. The inequivalent atoms are Sr at (0.0000, 0.0000, 0.0000) and Cu at (0.0000, 0.0000, 0.5000).

A relaxed SrTa2Cu crystal. Source: the Open Quantum Materials Database, functional PBE.

The value obtained for the total DFT energy (no corrections) is -6.400 eV per atom. As for the size of the total moment: 0.183 μB/atom.

It has space group F-43m (No. 216), with a = 6.8372 Å, b = 6.8372 Å, c = 6.8372 Å, α = 90.00°, β = 90.00° and γ = 90.00°. The inequivalent atoms are Sr at (0.0000, 0.0000, 0.0000), Ta at (0.0000, 0.0000, 0.5000), Ta at (0.2500, 0.2500, 0.7500) and Cu at (0.2500, 0.2500, 0.2500).

A relaxed SrTaCu crystal. Source: the Open Quantum Materials Database, functional PBE.

The offset from the most stable computed form comes out at 848.1 meV per atom. As for the size of the total moment: 1.246 μB/atom.

It has space group F-43m (No. 216), with a = 7.0444 Å, b = 7.0444 Å, c = 7.0444 Å, α = 90.00°, β = 90.00° and γ = 90.00°. The inequivalent atoms are Sr at (0.0000, 0.0000, 0.0000), Ta at (0.2500, 0.2500, 0.2500) and Cu at (0.2500, 0.2500, 0.7500).